This record from Alexandria describes an optimized crystal structure of Sm3Ga2Co7. The functional is GGA-PBE.

abc: 5.2030 5.2030 8.4553
angles: 72.08 72.08 60.00
Last column: magnetic moment on the atom in μB.
Fractional positions:
Sm  0.0000  0.0000  0.0000  -0.14
Sm  0.8597  0.8597  0.4208  -0.15
Sm  0.1403  0.1403  0.5792  -0.15
Ga  0.6676  0.6676  0.9971  -0.05
Ga  0.3324  0.3324  0.0029  -0.05
Co  0.5000  0.5000  0.5000  1.21
Co  0.9125  0.4198  0.2479  0.75
Co  0.4198  0.9125  0.2479  0.75
Co  0.4198  0.4198  0.2479  0.75
Co  0.0875  0.5802  0.7521  0.75
Co  0.5802  0.5802  0.7521  0.75
Co  0.5802  0.0875  0.7521  0.75

Values from the calculation:
Theoretical density (g/cm3): 8.989
Uncorrected energy (eV per atom): -6.0634
SG: R-3m (166)
DOS(E_F) (states/eV/cell): 16.16